Record 1
{"formula": "AgOs2C", "functional": "PBE", "state": "relaxed", "ef_kj_per_mol_atoms": 132.6, "lattice": [[-2.475, 2.475, 5.643], [2.475, -2.475, 5.643], [2.475, 2.475, -5.643]], "species": ["Ag", "Ag", "Os", "Os", "Os", "Os", "C", "C"], "fractional_positions": [[0.000, 0.000, 0.000], [0.750, 0.250, 0.500], [0.269, 0.625, 0.144], [0.375, 0.519, 0.644], [0.481, 0.125, 0.856], [0.875, 0.731, 0.356], [0.250, 0.750, 0.500], [0.500, 0.500, 0.000]]}



Record 2
{"formula": "AgOsC2", "functional": "PBE", "state": "relaxed", "ef_kj_per_mol_atoms": 215.4, "e_above_lowest_polymorph_ev_per_atom": 1.1501, "lattice": [[0.000, 2.791, 2.791], [2.791, 0.000, 2.791], [2.791, 2.791, 0.000]], "species": ["Ag", "Os", "C", "C"], "fractional_positions": [[0.000, 0.000, 0.000], [0.500, 0.500, 0.500], [0.250, 0.250, 0.250], [0.750, 0.750, 0.750]]}



Record 3
{"formula": "AgOs3C", "functional": "PBE", "state": "relaxed", "ef_kj_per_mol_atoms": 76.2, "e_above_lowest_polymorph_ev_per_atom": 0.0000, "lattice": [[4.098, 0.000, 0.000], [0.000, 4.098, 0.000], [0.000, 0.000, 4.098]], "species": ["Ag", "Os", "Os", "Os", "C"], "fractional_positions": [[0.000, 0.000, 0.000], [0.000, 0.500, 0.500], [0.500, 0.000, 0.500], [0.500, 0.500, 0.000], [0.500, 0.500, 0.500]]}



Record 4
{"formula": "Pm2AgOsC", "functional": "PBE", "state": "relaxed", "ef_kj_per_mol_atoms": -27.2, "lattice": [[5.192, 0.000, 0.000], [0.000, 5.192, 0.000], [0.000, 0.000, 3.909]], "species": ["Pm", "Pm", "Ag", "Os", "C"], "fractional_positions": [[0.000, 0.500, 0.000], [0.500, 0.000, 0.000], [0.000, 0.000, 0.500], [0.500, 0.500, 0.500], [0.500, 0.500, 0.000]]}



Record 5
{"formula": "Pr2AgOsC", "functional": "PBE", "state": "relaxed", "ef_kj_per_mol_atoms": -21.8, "lattice": [[5.294, 0.000, 0.000], [0.000, 5.294, 0.000], [0.000, 0.000, 3.919]], "species": ["Pr", "Pr", "Ag", "Os", "C"], "fractional_positions": [[0.000, 0.500, 0.000], [0.500, 0.000, 0.000], [0.000, 0.000, 0.500], [0.500, 0.500, 0.500], [0.500, 0.500, 0.000]]}



Record 6
{"formula": "Ag2SbOsC", "functional": "PBE", "state": "relaxed", "raw_formation_energy_ev_per_atom": 1.119, "lattice": [[5.249, 0.000, 0.000], [0.000, 5.249, 0.000], [0.000, 0.000, 3.780]], "species": ["Ag", "Ag", "Sb", "Os", "C"], "fractional_positions": [[0.000, 0.500, 0.000], [0.500, 0.000, 0.000], [0.000, 0.000, 0.500], [0.500, 0.500, 0.000], [0.500, 0.500, 0.500]]}



Record 7
{"formula": "ScAgOs2C", "functional": "PBE", "state": "relaxed", "ef_kj_per_mol_atoms": 311.9, "lattice": [[4.804, 0.000, 0.000], [0.000, 4.804, 0.000], [0.000, 0.000, 4.877]], "species": ["Sc", "Ag", "Os", "Os", "C"], "fractional_positions": [[0.000, 0.000, 0.000], [0.000, 0.000, 0.500], [0.000, 0.500, 0.500], [0.500, 0.000, 0.500], [0.500, 0.500, 0.000]]}



Record 8
{"formula": "Tb2AgOsC", "functional": "PBE", "state": "relaxed", "ef_kj_per_mol_atoms": -34.8, "lattice": [[5.037, 0.000, 0.000], [0.000, 5.037, 0.000], [0.000, 0.000, 3.896]], "species": ["Tb", "Tb", "Ag", "Os", "C"], "fractional_positions": [[0.000, 0.500, 0.000], [0.500, 0.000, 0.000], [0.000, 0.000, 0.500], [0.500, 0.500, 0.500], [0.500, 0.500, 0.000]]}



Record 9
{"formula": "Y2AgOsC", "functional": "PBE", "state": "relaxed", "ef_kj_per_mol_atoms": -36.2, "lattice": [[5.018, 0.000, 0.000], [0.000, 5.018, 0.000], [0.000, 0.000, 3.897]], "species": ["Y", "Y", "Ag", "Os", "C"], "fractional_positions": [[0.000, 0.500, 0.000], [0.500, 0.000, 0.000], [0.000, 0.000, 0.500], [0.500, 0.500, 0.500], [0.500, 0.500, 0.000]]}



Record 10
{"formula": "AgP3C", "functional": "PBE", "state": "relaxed", "ef_kj_per_mol_atoms": 113.5, "e_above_lowest_polymorph_ev_per_atom": 0.0000, "lattice": [[4.135, 0.000, 0.000], [0.000, 4.135, 0.000], [0.000, 0.000, 4.135]], "species": ["Ag", "P", "P", "P", "C"], "fractional_positions": [[0.000, 0.000, 0.000], [0.000, 0.500, 0.500], [0.500, 0.000, 0.500], [0.500, 0.500, 0.000], [0.500, 0.500, 0.500]]}



Record 11
{"formula": "AgP2C", "functional": "PBE", "state": "relaxed", "ef_kj_per_mol_atoms": 55.1, "lattice": [[-2.669, 2.669, 4.286], [2.669, -2.669, 4.286], [2.669, 2.669, -4.286]], "species": ["Ag", "Ag", "P", "P", "P", "P", "C", "C"], "fractional_positions": [[0.000, 0.000, 0.000], [0.750, 0.250, 0.500], [0.209, 0.625, 0.084], [0.375, 0.459, 0.584], [0.541, 0.125, 0.916], [0.875, 0.791, 0.416], [0.250, 0.750, 0.500], [0.500, 0.500, 0.000]]}



Record 12
{"formula": "AgP3C", "functional": "PBE", "state": "relaxed", "ef_kj_per_mol_atoms": 248.2, "e_above_lowest_polymorph_ev_per_atom": 1.3961, "lattice": [[4.762, 0.000, 0.000], [0.000, 4.762, 0.000], [0.000, 0.000, 4.762]], "species": ["Ag", "P", "P", "P", "C"], "fractional_positions": [[0.000, 0.000, 0.000], [0.000, 0.000, 0.500], [0.000, 0.500, 0.000], [0.500, 0.000, 0.000], [0.500, 0.500, 0.500]]}



Record 13
{"formula": "AgPC2", "functional": "PBE", "state": "relaxed", "ef_kj_per_mol_atoms": 96.9, "lattice": [[-2.434, 2.434, 3.994], [2.434, -2.434, 3.994], [2.434, 2.434, -3.994]], "species": ["Ag", "Ag", "P", "P", "C", "C", "C", "C"], "fractional_positions": [[0.000, 0.000, 0.000], [0.750, 0.250, 0.500], [0.250, 0.750, 0.500], [0.500, 0.500, 0.000], [0.203, 0.625, 0.078], [0.375, 0.453, 0.578], [0.547, 0.125, 0.922], [0.875, 0.797, 0.422]]}



Record 14
{"formula": "Ag3PC", "functional": "PBE", "state": "relaxed", "ef_kj_per_mol_atoms": 105.1, "e_above_lowest_polymorph_ev_per_atom": 0.0000, "lattice": [[4.354, 0.000, 0.000], [0.000, 4.354, 0.000], [0.000, 0.000, 4.354]], "species": ["Ag", "Ag", "Ag", "P", "C"], "fractional_positions": [[0.000, 0.000, 0.500], [0.000, 0.500, 0.000], [0.500, 0.000, 0.000], [0.500, 0.500, 0.500], [0.000, 0.000, 0.000]]}



Record 15
{"formula": "ScAg2PC", "functional": "PBE", "state": "relaxed", "ef_kj_per_mol_atoms": 194.0, "lattice": [[5.332, 0.000, 0.000], [0.000, 5.332, 0.000], [0.000, 0.000, 4.821]], "species": ["Sc", "Ag", "Ag", "P", "C"], "fractional_positions": [[0.000, 0.000, 0.000], [0.000, 0.500, 0.000], [0.500, 0.000, 0.000], [0.000, 0.000, 0.500], [0.500, 0.500, 0.500]]}



Record 16
{"formula": "AgPCSe2", "functional": "PBE", "state": "relaxed", "raw_formation_energy_ev_per_atom": 1.259, "lattice": [[4.503, 0.000, 0.000], [0.000, 4.503, 0.000], [0.000, 0.000, 4.241]], "species": ["Ag", "P", "C", "Se", "Se"], "fractional_positions": [[0.000, 0.000, 0.000], [0.500, 0.500, 0.000], [0.000, 0.000, 0.500], [0.000, 0.500, 0.500], [0.500, 0.000, 0.500]]}



Record 17
{"formula": "TiAgPC2", "functional": "PBE", "state": "relaxed", "ef_kj_per_mol_atoms": 172.5, "e_above_lowest_polymorph_ev_per_atom": 0.2046, "lattice": [[3.927, 0.000, 0.000], [0.000, 3.927, 0.000], [0.000, 0.000, 5.533]], "species": ["Ti", "Ag", "P", "C", "C"], "fractional_positions": [[0.000, 0.000, 0.000], [0.000, 0.000, 0.500], [0.500, 0.500, 0.500], [0.000, 0.500, 0.000], [0.500, 0.000, 0.000]]}



Record 18
{"formula": "TiAgPC2", "functional": "PBE", "state": "relaxed", "ef_kj_per_mol_atoms": 152.7, "e_above_lowest_polymorph_ev_per_atom": 0.0000, "lattice": [[3.742, 0.000, 0.000], [0.000, 3.742, 0.000], [0.000, 0.000, 4.792]], "species": ["Ti", "Ag", "P", "C", "C"], "fractional_positions": [[0.000, 0.000, 0.000], [0.500, 0.500, 0.000], [0.000, 0.000, 0.500], [0.000, 0.500, 0.500], [0.500, 0.000, 0.500]]}



Record 19
{"formula": "Tl2AgPC", "functional": "PBE", "state": "relaxed", "ef_kj_per_mol_atoms": 76.0, "lattice": [[5.843, 0.000, 0.000], [0.000, 5.843, 0.000], [0.000, 0.000, 3.481]], "species": ["Tl", "Tl", "Ag", "P", "C"], "fractional_positions": [[0.000, 0.500, 0.000], [0.500, 0.000, 0.000], [0.000, 0.000, 0.500], [0.500, 0.500, 0.500], [0.500, 0.500, 0.000]]}



Record 20
{"formula": "Ag2PWC", "functional": "PBE", "state": "relaxed", "ef_kj_per_mol_atoms": 230.3, "lattice": [[5.230, 0.000, 0.000], [0.000, 5.230, 0.000], [0.000, 0.000, 4.546]], "species": ["Ag", "Ag", "P", "W", "C"], "fractional_positions": [[0.000, 0.500, 0.000], [0.500, 0.000, 0.000], [0.000, 0.000, 0.500], [0.000, 0.000, 0.000], [0.500, 0.500, 0.500]]}